Entry 1:
{
  "formula": "ZrTe2PbN",
  "functional": "meta-GGA SCAN",
  "state": "single point on PBEsol structure",
  "cell": [[5.765, 0.000, 0.000], [0.000, 5.765, 0.000], [0.000, 0.000, 3.982]],
  "species": ["Zr", "Te", "Te", "Pb", "N"],
  "fractional_positions": [[0.000, 0.000, 0.000], [0.000, 0.500, 0.000], [0.500, 0.000, 0.000], [0.500, 0.500, 0.500], [0.000, 0.000, 0.500]],
  "formation_energy_uncorrected_mev_per_atom": -259,
  "total_energy_ev_per_atom": -38.313,
  "rho_g_cm3": 7.12,
  "n_ef_per_ev_atom": 0.451
}

---

Entry 2:
{
  "formula": "TlPbN2",
  "functional": "meta-GGA SCAN",
  "state": "single point on PBEsol structure",
  "cell": [[3.532, 0.000, 0.000], [-1.766, 3.059, 0.000], [0.000, 0.000, 19.460]],
  "species": ["Tl", "Tl", "Tl", "Pb", "Pb", "Pb", "N", "N", "N", "N", "N", "N"],
  "fractional_positions": [[0.000, 0.000, 0.000], [0.333, 0.667, 0.667], [0.667, 0.333, 0.333], [0.000, 0.000, 0.500], [0.333, 0.667, 0.167], [0.667, 0.333, 0.833], [0.000, 0.000, 0.108], [0.000, 0.000, 0.892], [0.333, 0.667, 0.559], [0.333, 0.667, 0.774], [0.667, 0.333, 0.226], [0.667, 0.333, 0.441]],
  "formation_energy_uncorrected_mev_per_atom": 1063,
  "total_energy_ev_per_atom": -40.617,
  "rho_g_cm3": 10.41,
  "n_ef_per_ev_atom": 0.338
}

---

Entry 3:
{
  "formula": "PbW3N",
  "functional": "meta-GGA SCAN",
  "state": "single point on PBEsol structure",
  "cell": [[4.966, 0.000, 0.000], [0.000, 4.966, 0.000], [0.000, 0.000, 4.966]],
  "species": ["Pb", "W", "W", "W", "N"],
  "fractional_positions": [[0.000, 0.000, 0.000], [0.000, 0.000, 0.500], [0.000, 0.500, 0.000], [0.500, 0.000, 0.000], [0.500, 0.500, 0.500]],
  "formation_energy_uncorrected_mev_per_atom": 4656,
  "total_energy_ev_per_atom": -54.172,
  "rho_g_cm3": 10.48,
  "n_ef_per_ev_atom": 1.357
}